(1)
Compound: TbMn2Al2C
Source: the Alexandria database
Functional: PBE
Structure: optimized geometry

Structure (extended XYZ):
```
6
Lattice="3.9227 0.0000 0.0000 0.0000 3.9227 0.0000 0.0000 0.0000 5.5883" Properties=species:S:1:pos:R:3 pbc="T T T"
Tb 0.0000 0.0000 0.0000
Mn 0.0000 1.9613 2.7942
Mn 1.9613 0.0000 2.7942
Al 1.9613 1.9613 1.3024
Al 1.9613 1.9613 4.2859
C 0.0000 0.0000 2.7942
```

SG	No. 123
raw total energy	-41.66	eV for the cell shown
volume	14.33	A^3/atom
total magnetization	1.803	μB/f.u.


(2)
Compound: Dy7Ho12Zr
Source: the Alexandria database
Functional: PBE
Structure: optimized geometry

Structure (extended XYZ):
```
20
Lattice="6.1418 3.5460 4.9024 -6.1418 3.5460 4.9024 0.0000 -7.0920 4.9024" Properties=species:S:1:pos:R:3 pbc="T T T"
Dy 0.0000 0.0000 0.0000
Dy -1.8462 -1.7525 5.8923
Dy -2.4408 0.7226 8.8149
Dy -0.5946 2.4751 5.8923
Dy 0.5946 -2.4751 8.8149
Dy 2.4408 -0.7226 5.8923
Dy 1.8462 1.7524 8.8149
Ho -0.5803 -1.9903 2.7522
Ho -3.6918 1.1066 5.6126
Ho -1.4335 1.4977 2.7522
Ho -2.8043 -2.6439 9.0945
Ho 0.8876 -3.7505 5.6126
Ho 2.0138 0.4926 2.7522
Ho -2.0138 -0.4926 11.9550
Ho -0.8876 3.7505 9.0945
Ho 2.8043 2.6439 5.6127
Ho 1.4335 -1.4977 11.9550
Ho 3.6918 -1.1066 9.0945
Ho 0.5803 1.9903 11.9550
Zr 0.0000 0.0000 7.3536
```

SG	No. 148
volume	32.03	A^3/atom
excess energy over the best structure of this formula in the dataset	0	meV per atom
total magnetization	0.786	μB/f.u.


(3)
Compound: Ba2NaMgSb
Source: the Alexandria database
Functional: PBE
Structure: optimized geometry

Structure (extended XYZ):
```
5
Lattice="6.7775 0.0000 0.0000 0.0000 6.7775 0.0000 0.0000 0.0000 5.5512" Properties=species:S:1:pos:R:3 pbc="T T T"
Ba 0.0000 3.3888 0.0000
Ba 3.3888 0.0000 0.0000
Na 0.0000 0.0000 2.7756
Mg 3.3888 3.3888 2.7756
Sb 3.3888 3.3888 0.0000
```

formation energy from raw total energies	-232	meV/atom
SG	No. 123
volume	51.00	A^3/atom
total magnetization	0.002	μB/f.u.


(4)
Compound: AcPd2Cl8
Source: the Alexandria database
Functional: PBE
Structure: optimized geometry

Structure (extended XYZ):
```
11
Lattice="-3.4595 3.4595 6.3022 3.4595 -3.4595 6.3022 3.4595 3.4595 -6.3022" Properties=species:S:1:pos:R:3 pbc="T T T"
Ac 0.0000 0.0000 0.0000
Pd 3.4595 0.0000 3.1511
Pd 0.0000 3.4595 3.1511
Cl 4.6207 1.2050 -1.5317
Cl 1.2050 2.2984 -1.5317
Cl 2.2984 1.2050 1.5317
Cl 2.2545 -1.1612 7.8339
Cl 2.2545 1.1612 4.7705
Cl -1.1612 2.2545 4.7705
Cl 1.2050 4.6207 1.5317
Cl 1.1612 2.2545 7.8339
```

formation energy from raw total energies	-1067	meV/atom
SG	No. 97
volume	27.43	A^3/atom
total magnetization	1.062	μB/f.u.


(5)
Compound: Ac3HoBi4
Source: the Alexandria database
Functional: PBE
Structure: optimized geometry

Structure (extended XYZ):
```
16
Lattice="8.2774 0.0000 0.0000 0.0000 9.5778 0.0000 -2.7676 0.0000 7.8073" Properties=species:S:1:pos:R:3 pbc="T T T"
Ac -0.6919 1.1868 1.9518
Ac -2.0757 3.5650 5.8555
Ac -0.6919 6.0129 1.9518
Ac -2.0757 8.3910 5.8555
Ac 3.4468 3.5705 1.9518
Ac 2.0630 6.0074 5.8555
Ho 2.0630 1.1830 5.8555
Ho 3.4468 8.3948 1.9518
Bi 0.7250 3.5132 3.9725
Bi 2.1088 6.0647 0.0688
Bi -0.5565 1.1095 7.8017
Bi 0.8273 8.4683 3.8980
Bi 4.6824 1.1095 3.9093
Bi 6.0663 8.4683 0.0057
Bi 3.4009 3.5132 7.7385
Bi 4.7847 6.0647 3.8348
```

SG	No. 13
raw total energy	-79.80	eV for the cell shown
volume	38.69	A^3/atom
total magnetization	0.000	μB/f.u.


(6)
Compound: SrTl2Sn
Source: the Alexandria database
Functional: PBE
Structure: optimized geometry

Structure (extended XYZ):
```
8
Lattice="-4.4537 4.4537 3.3646 4.4537 -4.4537 3.3646 4.4537 4.4537 -3.3646" Properties=species:S:1:pos:R:3 pbc="T T T"
Sr 0.0000 0.0000 0.0000
Sr 0.0000 4.4537 1.6823
Tl 2.2268 2.5560 -0.8411
Tl 6.3513 2.2268 0.8411
Tl 2.2268 1.8976 2.5234
Tl -1.8976 2.2268 4.2057
Sn 4.4537 0.0000 1.6823
Sn 0.0000 0.0000 3.3646
```

SG	No. 122
volume	33.37	A^3/atom
excess energy over the best structure of this formula in the dataset	104	meV per atom
total magnetization	0.000	μB/f.u.


What is the total magnetization in the fifth record?
0.000 μB/f.u.


The lowest volume belongs to which entry?
TbMn2Al2C